No. 1
Density functional theory data (GGA-PBE) for crystalline LaSi2Hg at its relaxed geometry.

Results
- DOS(E_F): 0.7637 states/eV per atom
- Uncorrected energy: -3.68 eV/atom
- Volume: 93 Å³/cell

Unit cell a=9.208 b=9.208 c=9.208 alpha=21.60 beta=21.60 gamma=21.60
Positions (direct):
La  0.000  0.000  0.000
Si  0.240  0.240  0.240
Si  0.760  0.760  0.760
Hg  0.500  0.500  0.500



No. 2
Density functional theory data (GGA-PBE) for crystalline La2SiHg2 at its relaxed geometry.

Results
- DOS(E_F): 0.4930 states/eV per atom
- Uncorrected energy: -3.50 eV/atom
- Volume: 272 Å³/cell

Unit cell a=7.488 b=7.488 c=4.849 alpha=90.00 beta=90.00 gamma=90.00
Positions (direct):
La  0.172  0.328  0.000
La  0.328  0.828  0.000
La  0.672  0.172  0.000
La  0.828  0.672  0.000
Si  0.000  0.000  0.500
Si  0.500  0.500  0.500
Hg  0.137  0.637  0.500
Hg  0.363  0.137  0.500
Hg  0.637  0.863  0.500
Hg  0.863  0.363  0.500



No. 3
Density functional theory data (GGA-PBE) for crystalline LaSiHg at its relaxed geometry.

Results
- DOS(E_F): 0.5876 states/eV per atom
- Uncorrected energy: -4.06 eV/atom
- Volume: 75 Å³/cell

Unit cell a=4.445 b=4.445 c=4.385 alpha=90.00 beta=90.00 gamma=120.00
Positions (direct):
La  0.000  0.000  0.000
Si  0.667  0.333  0.482
Hg  0.333  0.667  0.513



No. 4
Density functional theory data (GGA-PBE) for crystalline LaSiHg at its relaxed geometry.

Results
- DOS(E_F): 0.3385 states/eV per atom
- Uncorrected energy: -4.15 eV/atom
- Volume: 150 Å³/cell

Unit cell a=8.950 b=8.950 c=4.019 alpha=90.14 beta=90.14 gamma=27.71
Positions (direct):
La  0.100  0.100  0.251
La  0.900  0.900  0.749
Si  0.462  0.462  0.250
Si  0.538  0.538  0.750
Hg  0.290  0.290  0.250
Hg  0.710  0.710  0.750



No. 5
Density functional theory data (GGA-PBE) for crystalline La2Si2Hg at its relaxed geometry.

Results
- DOS(E_F): 0.8339 states/eV per atom
- Uncorrected energy: -4.43 eV/atom
- Volume: 138 Å³/cell

Unit cell a=5.726 b=5.726 c=5.726 alpha=117.27 beta=117.27 gamma=94.79
Positions (direct):
La  0.250  0.750  0.500
La  0.750  0.250  0.500
Si  0.154  0.154  0.000
Si  0.846  0.846  0.000
Hg  0.500  0.500  0.000



No. 6
Density functional theory data (GGA-PBE) for crystalline LaSi2Hg at its relaxed geometry.

Results
- DOS(E_F): 0.3083 states/eV per atom
- Uncorrected energy: -4.27 eV/atom
- Volume: 93 Å³/cell

Unit cell a=5.885 b=5.885 c=4.771 alpha=113.77 beta=113.77 gamma=38.59
Positions (direct):
La  0.000  0.000  0.000
Si  0.249  0.249  0.753
Si  0.601  0.601  0.601
Hg  0.792  0.792  0.293



No. 7
Density functional theory data (GGA-PBE) for crystalline LaSi4Hg at its relaxed geometry.

Results
- DOS(E_F): 0.3678 states/eV per atom
- Uncorrected energy: -4.56 eV/atom
- Volume: 115 Å³/cell

Unit cell a=5.453 b=5.453 c=5.453 alpha=60.00 beta=60.00 gamma=60.00
Positions (direct):
La  0.000  0.000  0.000
Si  0.134  0.622  0.622
Si  0.622  0.134  0.622
Si  0.622  0.622  0.134
Si  0.622  0.622  0.622
Hg  0.250  0.250  0.250



No. 8
Density functional theory data (GGA-PBE) for crystalline LaSi2Hg2 at its relaxed geometry.

Results
- DOS(E_F): 0.5706 states/eV per atom
- Uncorrected energy: -3.48 eV/atom
- Volume: 112 Å³/cell

Unit cell a=6.651 b=6.651 c=6.651 alpha=141.69 beta=141.69 gamma=55.30
Positions (direct):
La  0.000  0.000  0.000
Si  0.401  0.401  0.000
Si  0.599  0.599  0.000
Hg  0.250  0.750  0.500
Hg  0.750  0.250  0.500



No. 9
Density functional theory data (GGA-PBE) for crystalline LaSi2Hg at its relaxed geometry.

Results
- DOS(E_F): 0.6410 states/eV per atom
- Uncorrected energy: -4.05 eV/atom
- Volume: 91 Å³/cell

Unit cell a=3.751 b=3.751 c=6.566 alpha=90.00 beta=90.00 gamma=99.28
Positions (direct):
La  0.000  0.000  0.000
Si  0.500  0.500  0.307
Si  0.500  0.500  0.693
Hg  0.000  0.000  0.500



No. 10
Density functional theory data (GGA-PBE) for crystalline LaSi2Hg at its relaxed geometry.

Results
- DOS(E_F): 0.6297 states/eV per atom
- Uncorrected energy: -4.08 eV/atom
- Volume: 201 Å³/cell

Unit cell a=9.667 b=9.667 c=9.667 alpha=151.80 beta=151.80 gamma=40.30
Positions (direct):
La  0.000  0.000  0.000
La  0.750  0.250  0.500
Si  0.257  0.625  0.132
Si  0.375  0.507  0.632
Si  0.493  0.125  0.868
Si  0.875  0.743  0.368
Hg  0.250  0.750  0.500
Hg  0.500  0.500  0.000



No. 11
Density functional theory data (GGA-PBE) for crystalline La6SiHg5 at its relaxed geometry.

Results
- DOS(E_F): 1.1840 states/eV per atom
- Uncorrected energy: -3.57 eV/atom
- Volume: 347 Å³/cell

Unit cell a=9.542 b=9.542 c=9.542 alpha=146.92 beta=132.41 gamma=59.18
Positions (direct):
La  0.079  0.343  0.735
La  0.227  0.000  0.227
La  0.392  0.657  0.735
La  0.608  0.343  0.265
La  0.773  0.000  0.773
La  0.921  0.657  0.265
Si  0.000  0.500  0.500
Hg  0.187  0.187  0.000
Hg  0.332  0.832  0.500
Hg  0.500  0.500  0.000
Hg  0.668  0.168  0.500
Hg  0.813  0.813  0.000



No. 12
Density functional theory data (GGA-PBE) for crystalline La5SiHg2 at its relaxed geometry.

Results
- DOS(E_F): 1.1233 states/eV per atom
- Uncorrected energy: -4.26 eV/atom
- Volume: 486 Å³/cell

Unit cell a=6.826 b=13.195 c=5.398 alpha=90.00 beta=90.00 gamma=90.00
Positions (direct):
La  0.000  0.000  0.000
La  0.138  0.406  0.500
La  0.162  0.713  0.000
La  0.338  0.213  0.000
La  0.362  0.906  0.500
La  0.500  0.500  0.000
La  0.638  0.094  0.500
La  0.662  0.787  0.000
La  0.838  0.287  0.000
La  0.862  0.594  0.500
Si  0.000  0.500  0.000
Si  0.500  0.000  0.000
Hg  0.097  0.153  0.500
Hg  0.403  0.653  0.500
Hg  0.597  0.347  0.500
Hg  0.903  0.847  0.500